Record 1
## PaAlZn2Cu4 (PBE-GGA)

Data for a relaxed PaAlZn2Cu4 crystal.

Cell and atoms, written as POSCAR:
```
PaAlZn2Cu4
1.0
2.075 1.198 8.289
-2.075 1.198 8.289
0.000 -2.396 8.289
Pa Al Zn Cu
1 1 2 4
Cartesian
0.000 0.000 0.000
0.000 0.000 12.433
0.000 0.000 6.011
0.000 0.000 18.856
0.000 0.000 3.221
0.000 0.000 9.927
0.000 0.000 14.940
0.000 0.000 21.646
```

Values from the calculation:
For the formation energy, the calculation gives -0.06 eV/atom.

Record 2
## Pr8Nd3Dy4 (PBE-GGA)

Data for a relaxed Pr8Nd3Dy4 crystal.

Cell and atoms, written as POSCAR:
```
Pr8Nd3Dy4
1.0
7.022 -6.188 0.000
7.022 6.188 0.000
-3.336 0.000 6.113
Pr Nd Dy
8 3 4
Cartesian
2.272 0.000 1.102
7.022 3.638 0.000
5.354 3.048 3.056
1.200 0.000 4.365
9.507 0.000 1.747
5.354 -3.048 3.056
7.022 -3.638 0.000
8.436 0.000 5.011
-1.668 0.000 3.056
3.511 3.094 0.000
3.511 -3.094 0.000
1.843 3.094 3.056
1.843 -3.094 3.056
7.022 0.000 0.000
5.354 0.000 3.056
```

Values from the calculation:
For the formation energy, the calculation gives 0.32 eV/atom.

Record 3
## BaHgRu2 (PBE-GGA)

Data for a relaxed BaHgRu2 crystal.

Cell and atoms, written as POSCAR:
```
BaHgRu2
1.0
-2.068 2.869 4.304
2.068 -2.869 4.304
2.068 2.869 -4.304
Ba Hg Ru
1 1 2
Cartesian
0.000 0.000 0.000
2.068 0.000 2.630
0.000 0.000 4.824
0.000 2.869 1.617
```

Values from the calculation:
For the formation energy, the calculation gives 0.58 eV/atom.

Record 4
## Sm3ZnHg5 (PBE-GGA)

Data for a relaxed Sm3ZnHg5 crystal.

Cell and atoms, written as POSCAR:
```
Sm3ZnHg5
1.0
9.043 0.000 0.000
-4.522 7.832 0.000
0.000 0.000 6.373
Sm Zn Hg
6 2 10
Cartesian
-1.505 2.607 1.593
-3.017 5.225 4.780
3.010 0.000 1.593
1.505 2.607 4.780
6.033 0.000 4.780
3.017 5.225 1.593
0.000 0.000 0.000
0.000 0.000 3.186
-1.483 2.569 4.780
-3.038 5.262 1.593
2.967 0.000 4.780
1.483 2.569 1.593
0.000 5.221 0.000
0.000 5.221 3.186
4.522 2.611 0.000
4.522 2.611 3.186
6.077 0.000 1.593
3.038 5.262 4.780
```

Values from the calculation:
For the formation energy, the calculation gives -0.39 eV/atom.

Record 5
## YTm6Sc2 (PBE-GGA)

Data for a relaxed YTm6Sc2 crystal.

Cell and atoms, written as POSCAR:
```
YTm6Sc2
1.0
6.579 -6.423 0.000
6.579 6.423 0.000
-1.571 0.000 6.244
Y Tm Sc
2 12 4
Cartesian
5.401 4.632 4.683
6.186 -4.632 1.561
0.325 1.097 5.101
2.959 2.643 1.639
1.111 -1.097 1.979
6.224 1.884 0.011
6.148 1.884 3.111
2.174 -2.643 4.760
9.413 2.643 1.483
5.438 -1.884 3.133
5.363 -1.884 6.233
10.476 1.097 4.265
8.628 -2.643 4.605
11.261 -1.097 1.143
3.247 0.374 3.908
4.033 -0.374 0.786
7.554 0.374 5.458
8.339 -0.374 2.336
```

Values from the calculation:
The energy above the most stable polymorph in this dataset is 1.89 kcal/mol of atoms. For the formation energy, the calculation gives 0.13 eV/atom.

Record 6
## NaScF3 (PBE-GGA)

Data for a relaxed NaScF3 crystal.

Cell and atoms, written as POSCAR:
```
NaScF3
1.0
4.240 0.000 0.000
0.000 4.240 0.000
0.000 0.000 4.240
Na Sc F
1 1 3
Cartesian
0.000 0.000 0.000
2.120 2.120 2.120
0.000 2.120 2.120
2.120 0.000 2.120
2.120 2.120 0.000
```

Values from the calculation:
The calculation puts the uncorrected formation energy at -3.009 eV/atom. The energy above the most stable polymorph in this dataset is 0.32 kcal/mol of atoms.

Record 7
## Na2BiPd (PBE-GGA)

Data for a relaxed Na2BiPd crystal.

Cell and atoms, written as POSCAR:
```
Na2BiPd
1.0
-4.514 4.514 2.676
4.514 -4.514 2.676
4.514 4.514 -2.676
Na Bi Pd
4 2 2
Cartesian
6.772 1.606 -0.669
1.606 2.257 0.669
-2.257 2.908 2.007
2.908 2.257 3.345
4.514 0.000 1.338
0.000 0.000 2.676
0.000 0.000 0.000
0.000 4.514 1.338
```

Values from the calculation:
For the formation energy, the calculation gives -0.09 eV/atom.

Record 8
## Pr2TmBi (PBE-GGA)

Data for a relaxed Pr2TmBi crystal.

Cell and atoms, written as POSCAR:
```
Pr2TmBi
1.0
4.338 0.000 0.000
0.000 4.338 0.000
0.000 0.000 6.887
Pr Tm Bi
2 1 1
Cartesian
0.000 0.000 1.647
0.000 0.000 5.239
2.169 2.169 3.443
2.169 2.169 0.000
```

Values from the calculation:
The energy above the most stable polymorph in this dataset is 0.00 kcal/mol of atoms. For the formation energy, the calculation gives -0.39 eV/atom.

Record 9
## CaAl2GeO6 (PBE-GGA)

Data for a relaxed CaAl2GeO6 crystal.

Cell and atoms, written as POSCAR:
```
CaAl2GeO6
1.0
4.369 -5.408 0.000
4.369 5.408 0.000
-2.546 0.000 5.350
Ca Al Ge O
2 4 2 12
Cartesian
2.459 4.282 4.012
3.733 -4.282 1.337
1.116 0.815 4.466
2.389 -0.815 1.791
3.803 0.815 3.559
5.076 -0.815 0.884
3.733 3.298 1.337
2.459 -3.298 4.012
-0.597 0.929 3.704
1.112 2.537 5.102
0.676 -0.929 1.030
1.950 0.554 2.874
3.807 2.537 2.923
3.224 -0.554 0.199
2.968 0.554 5.151
2.385 -2.537 2.427
4.242 -0.554 2.476
5.516 0.929 4.320
5.080 -2.537 0.248
6.789 -0.929 1.645
```

Values from the calculation:
The calculation puts the uncorrected formation energy at -2.640 eV/atom.

Record 10
## Sm2BiO4F (PBE-GGA)

Data for a relaxed Sm2BiO4F crystal.

Cell and atoms, written as POSCAR:
```
Sm2BiO4F
1.0
5.555 -1.736 0.000
5.555 1.736 0.000
-2.523 0.000 6.150
Sm Bi O F
2 1 4 1
Cartesian
1.626 0.000 1.209
6.961 0.000 4.941
-1.262 0.000 3.075
-0.087 0.000 5.110
2.626 0.000 3.477
5.962 0.000 2.673
8.674 0.000 1.040
5.555 0.000 0.000
```

Values from the calculation:
The calculation puts the uncorrected formation energy at -2.757 eV/atom.

Record 11
## LaZn2GeN4 (PBE-GGA)

Data for a relaxed LaZn2GeN4 crystal.

Cell and atoms, written as POSCAR:
```
LaZn2GeN4
1.0
-2.689 2.689 3.637
2.689 -2.689 3.637
2.689 2.689 -3.637
La Zn Ge N
1 2 1 4
Cartesian
0.000 0.000 0.000
2.689 0.000 1.818
0.000 2.689 1.818
0.000 0.000 3.637
1.095 -1.095 2.580
1.594 1.594 1.057
-1.095 1.095 2.580
1.095 1.095 4.693
```

Values from the calculation:
The calculation puts the uncorrected formation energy at -0.290 eV/atom.

Record 12
## Rb2PaBrCl6 (PBE-GGA)

Data for a relaxed Rb2PaBrCl6 crystal.

Cell and atoms, written as POSCAR:
```
Rb2PaBrCl6
1.0
4.169 2.407 13.154
-4.169 2.407 13.154
0.000 -4.814 13.154
Rb Pa Br Cl
4 2 2 12
Cartesian
0.000 0.000 5.029
0.000 0.000 9.925
0.000 0.000 29.535
0.000 0.000 34.432
0.000 0.000 0.000
0.000 0.000 19.730
0.000 0.000 16.946
0.000 0.000 22.515
-2.273 -1.312 18.832
0.000 -2.747 14.667
-2.379 1.373 14.667
-2.379 -1.373 24.794
0.000 -2.624 20.628
-2.273 1.312 20.628
2.273 -1.312 18.832
0.000 2.624 18.832
2.379 1.373 14.667
2.379 -1.373 24.794
0.000 2.747 24.794
2.273 1.312 20.628
```

Values from the calculation:
The calculation puts the uncorrected formation energy at -1.787 eV/atom.

Record 13
## H2Ir2Pd (PBE-GGA)

Data for a relaxed H2Ir2Pd crystal.

Cell and atoms, written as POSCAR:
```
H2Ir2Pd
1.0
-1.758 1.758 4.106
1.758 -1.758 4.106
1.758 1.758 -4.106
H Ir Pd
2 2 1
Cartesian
1.758 0.000 2.053
0.000 1.758 2.053
0.000 0.000 1.321
0.000 0.000 6.890
0.000 0.000 4.106
```

Values from the calculation:
The energy above the most stable polymorph in this dataset is 0.68 kcal/mol of atoms.

Number 1: volume 15.46 Å³ per atom. Number 2: volume 35.41 Å³ per atom. Number 3: volume 25.53 Å³ per atom. Number 4: volume 25.08 Å³ per atom. Number 5: volume 29.31 Å³ per atom. Number 6: volume 15.25 Å³ per atom. Number 7: volume 27.27 Å³ per atom. Number 8: volume 32.40 Å³ per atom. Number 9: volume 12.64 Å³ per atom. Number 10: volume 14.83 Å³ per atom. Number 11: volume 13.14 Å³ per atom. Number 12: volume 39.60 Å³ per atom. Number 13: volume 10.16 Å³ per atom.